Nd2TeS2: optimized geometry, PBE-GGA.

Computed properties:
ΔE_f (raw)	-1.844	eV per atom
space-group type	No. 71
ΔE to the lowest computed polymorph	0.18	eV per formula unit

Lattice parameters (Å, degrees): 4.384 5.502 7.901 110.38 106.11 90.00
Fractional coordinates of all 5 atoms:
Te1 0.000 0.000 0.000
S1 0.710 0.710 0.419
S2 0.290 0.290 0.581
Nd1 0.336 0.836 0.672
Nd2 0.664 0.164 0.328

Pm8Al2Ag: optimized geometry, PBE-GGA.

Computed properties:
formation energy from the elements	-1.63	eV/f.u.
space-group type	No. 12

Lattice parameters (Å, degrees): 5.195 6.889 9.797 102.43 105.37 90.00
Fractional coordinates of all 11 atoms:
Pm1 0.795 0.701 0.590
Pm2 0.405 0.533 0.810
Pm3 0.595 0.467 0.190
Pm4 0.022 0.767 0.045
Pm5 0.342 0.033 0.684
Pm6 0.205 0.299 0.410
Pm7 0.658 0.967 0.316
Pm8 0.978 0.233 0.955
Al1 0.188 0.744 0.376
Al2 0.812 0.256 0.624
Ag1 0.500 0.000 0.000